1.
Here is Dy3Zn9Cu2 after structural relaxation from Alexandria. Energies are from PBE.

Total magnetic moment: 0.00 μB/f.u.
Formation energy from the elements: -0.31 eV per atom

Unit cell a=4.3363 b=8.8592 c=12.7725 alpha=90.00 beta=90.00 gamma=90.00
Space group Immm (No. 71)
Inequivalent atoms, fractional coordinates:
Dy 0.0000 0.0000 0.0000 [2 per cell]
Dy 0.0000 0.0000 0.2985 [4 per cell]
Zn 0.0000 0.2830 0.1323 [8 per cell]
Zn 0.0000 0.3585 0.3414 [8 per cell]
Zn 0.0000 0.5000 0.0000 [2 per cell]
Cu 0.0000 0.1820 0.5000 [4 per cell]

---

2.
Here is Cs6Rb8In after structural relaxation from Alexandria. Energies are from PBE.

Total magnetic moment: 0.00 μB/f.u.
Formation energy from the elements: 0.02 eV per atom

Unit cell a=13.7736 b=13.7736 c=25.7382 alpha=90.00 beta=90.00 gamma=120.00
Space group R-3 (No. 148, hexagonal axes)
Inequivalent atoms, fractional coordinates:
Cs 0.0300 0.7907 0.4121 [18 per cell]
Rb 0.0000 0.0000 0.2411 [6 per cell]
Rb 0.0495 0.8120 0.9140 [18 per cell]
In 0.0000 0.0000 0.0000 [3 per cell]

---

Number 1: DOS at the Fermi energy 16.81 states/eV per cell. Number 2: DOS at the Fermi energy 47.75 states/eV per cell.